Record 1
Material: TlAg6Sb2
Method: DFT, GGA-PBE
State: optimized geometry

Results
Space-group type   No. 123

Geometry as POSCAR:
```
TlAg6Sb2
1.0
-0.154 3.617 -2.155
-2.531 -1.802 -2.845
-9.169 3.246 6.102
Ag Sb Tl
6 2 1
Direct
0.000 0.500 0.679 Ag
0.500 0.000 0.679 Ag
0.500 0.500 0.500 Ag
0.500 0.000 0.321 Ag
0.000 0.500 0.321 Ag
0.000 0.000 0.500 Ag
0.500 0.500 0.151 Sb
0.500 0.500 0.849 Sb
0.000 0.000 0.000 Tl
```

Record 2
Material: TlAg12Sb6
Method: DFT, GGA-PBE
State: optimized geometry

Results
Space-group type   No. 166

Geometry as POSCAR:
```
TlAg12Sb6
1.0
0.078 0.690 -8.045
-0.703 -7.872 1.657
-6.785 3.539 2.577
Sb Ag Tl
6 12 1
Direct
0.300 0.300 0.713 Sb
0.700 0.700 0.287 Sb
0.700 0.287 0.700 Sb
0.300 0.713 0.300 Sb
0.713 0.300 0.300 Sb
0.287 0.700 0.700 Sb
0.891 0.500 0.109 Ag
0.883 0.654 0.654 Ag
0.117 0.346 0.346 Ag
0.109 0.891 0.500 Ag
0.346 0.346 0.117 Ag
0.500 0.109 0.891 Ag
0.109 0.500 0.891 Ag
0.654 0.654 0.883 Ag
0.500 0.891 0.109 Ag
0.654 0.883 0.654 Ag
0.891 0.109 0.500 Ag
0.346 0.117 0.346 Ag
0.000 0.000 0.000 Tl
```

Record 3
Material: TlZnAgSb2
Method: DFT, GGA-PBE
State: optimized geometry

Results
Space-group type   No. 119

Geometry as POSCAR:
```
TlZnAgSb2
1.0
4.885 0.000 0.000
0.000 4.885 0.000
-2.443 -2.443 5.696
Zn Sb Ag Tl
1 2 1 1
Direct
0.750 0.250 0.500 Zn
0.374 0.374 0.747 Sb
0.626 0.626 0.253 Sb
0.250 0.750 0.500 Ag
0.000 0.000 0.000 Tl
```

Record 4
Material: Tm2AgSb4
Method: DFT, GGA-PBE
State: optimized geometry

Results
Space-group type   No. 115

Geometry as POSCAR:
```
Tm2AgSb4
1.0
4.374 0.000 0.000
0.000 4.374 0.000
0.000 0.000 9.625
Tm Sb Ag
2 4 1
Direct
0.500 0.000 0.751 Tm
0.000 0.500 0.249 Tm
0.000 0.000 0.500 Sb
0.000 0.500 0.828 Sb
0.500 0.000 0.172 Sb
0.500 0.500 0.500 Sb
0.500 0.500 0.000 Ag
```

Record 5
Material: Tm2AgSb3
Method: DFT, GGA-PBE
State: optimized geometry

Results
Space-group type   No. 123

Geometry as POSCAR:
```
Tm2AgSb3
1.0
-1.719 7.765 3.263
-6.808 0.680 -5.204
-9.462 -6.916 11.475
Tm Sb Ag
2 3 1
Direct
0.500 0.500 0.829 Tm
0.500 0.500 0.171 Tm
0.500 0.500 0.659 Sb
0.500 0.500 0.341 Sb
0.500 0.500 0.000 Sb
0.500 0.500 0.500 Ag
```

Record 6
Material: Tm7Ag2Sb2
Method: DFT, GGA-PBE
State: optimized geometry

Results
Space-group type   No. 65

Geometry as POSCAR:
```
Tm7Ag2Sb2
1.0
-2.520 1.021 6.387
-6.318 -1.890 -2.192
1.897 -6.671 0.281
Sb Tm Ag
2 7 2
Direct
0.799 0.500 0.799 Sb
0.201 0.500 0.201 Sb
0.500 0.245 0.500 Tm
0.500 0.741 0.000 Tm
0.000 0.741 0.500 Tm
0.000 0.000 0.000 Tm
0.500 0.755 0.500 Tm
0.000 0.259 0.500 Tm
0.500 0.259 0.000 Tm
0.720 0.000 0.280 Ag
0.280 0.000 0.720 Ag
```

Record 7
Material: Tm12AgSb6
Method: DFT, GGA-PBE
State: optimized geometry

Results
Space-group type   No. 148

Geometry as POSCAR:
```
Tm12AgSb6
1.0
8.516 -0.153 -0.183
-1.442 8.395 -0.183
-1.442 -1.680 8.227
Tm Sb Ag
12 6 1
Direct
0.322 0.056 0.974 Tm
0.944 0.026 0.678 Tm
0.026 0.678 0.944 Tm
0.974 0.322 0.056 Tm
0.406 0.541 0.197 Tm
0.678 0.944 0.026 Tm
0.594 0.459 0.803 Tm
0.197 0.406 0.541 Tm
0.459 0.803 0.594 Tm
0.803 0.594 0.459 Tm
0.541 0.197 0.406 Tm
0.056 0.974 0.322 Tm
0.323 0.121 0.640 Sb
0.677 0.879 0.360 Sb
0.121 0.640 0.323 Sb
0.879 0.360 0.677 Sb
0.360 0.677 0.879 Sb
0.640 0.323 0.121 Sb
0.000 0.000 0.000 Ag
```

Record 8
Material: TmAg4Sb
Method: DFT, GGA-PBE
State: optimized geometry

Results
Space-group type   No. 216

Geometry as POSCAR:
```
TmAg4Sb
1.0
5.632 0.000 0.000
2.816 4.878 0.000
2.816 1.626 4.599
Ag Sb Tm
4 1 1
Direct
0.124 0.625 0.625 Ag
0.625 0.124 0.625 Ag
0.625 0.625 0.625 Ag
0.625 0.625 0.124 Ag
0.250 0.250 0.250 Sb
0.000 0.000 0.000 Tm
```

Record 9
Material: Tm4AgSb
Method: DFT, GGA-PBE
State: optimized geometry

Results
Space-group type   No. 109

Geometry as POSCAR:
```
Tm4AgSb
1.0
-3.877 -6.065 -3.618
7.592 0.937 -2.528
0.264 -1.660 7.879
Tm Ag Sb
8 2 2
Direct
0.822 0.012 0.809 Tm
0.238 0.527 0.289 Tm
0.238 0.949 0.711 Tm
0.277 0.488 0.789 Tm
0.762 0.453 0.691 Tm
0.203 0.012 0.191 Tm
0.699 0.488 0.211 Tm
0.762 0.072 0.309 Tm
0.009 0.509 0.500 Ag
0.259 0.259 0.000 Ag
0.739 0.739 0.000 Sb
0.489 0.989 0.500 Sb
```

Record 10
Material: Tm2AgSb
Method: DFT, GGA-PBE
State: optimized geometry

Results
Space-group type   No. 123

Geometry as POSCAR:
```
Tm2AgSb
1.0
3.928 0.000 0.000
0.000 4.994 0.000
0.000 0.000 4.994
Ag Sb Tm
1 1 2
Direct
0.500 0.000 0.000 Ag
0.500 0.500 0.500 Sb
0.000 0.500 0.000 Tm
0.000 0.000 0.500 Tm
```

Record 11
Material: Tm8AgSb2
Method: DFT, GGA-PBE
State: optimized geometry

Results
Space-group type   No. 12

Geometry as POSCAR:
```
Tm8AgSb2
1.0
4.914 0.000 0.000
0.000 6.764 0.305
-2.457 -2.483 9.076
Tm Sb Ag
8 2 1
Direct
0.346 0.983 0.691 Tm
0.984 0.233 0.968 Tm
0.786 0.664 0.572 Tm
0.407 0.516 0.814 Tm
0.016 0.767 0.032 Tm
0.593 0.484 0.186 Tm
0.654 0.017 0.309 Tm
0.214 0.336 0.428 Tm
0.819 0.231 0.638 Sb
0.181 0.769 0.362 Sb
0.500 0.000 0.000 Ag
```

Record 12
Material: TmAgSb
Method: DFT, GGA-PBE
State: optimized geometry

Results
Space-group type   No. 70

Geometry as POSCAR:
```
TmAgSb
1.0
0.035 7.130 -1.691
-7.248 -0.841 0.673
4.031 -1.608 6.995
Tm Ag Sb
4 4 4
Direct
0.914 0.414 0.828 Tm
0.336 0.336 0.672 Tm
0.664 0.664 0.328 Tm
0.586 0.086 0.172 Tm
0.125 0.875 0.250 Ag
0.125 0.875 0.750 Ag
0.125 0.375 0.250 Ag
0.625 0.875 0.750 Ag
0.535 0.035 0.500 Sb
0.715 0.715 0.000 Sb
0.965 0.465 0.500 Sb
0.285 0.285 0.000 Sb
```

no.,raw total energy (eV/atom)
1,-3.001
2,-3.080
3,-2.898
4,-4.597
5,-2.776
6,-4.294
7,-4.786
8,-3.479
9,-4.188
10,-4.533
11,-4.611
12,-4.034